# 1
The following is a DFT calculation (PBE) of a relaxed LiNdSmIr crystal.

```
LiNdSmIr
1.0
-1.208 2.089 -4.444
-4.385 -1.166 -2.234
-3.700 3.438 -0.255
Nd Sm Ir Li
1 1 1 1
Direct
0.250 0.250 0.250
0.750 0.750 0.750
0.500 0.500 0.500
0.000 0.000 0.000
```

**Symmetry**: F-43m (216)
**E_tot**: -5.492 eV/atom

=====

# 2
The following is a DFT calculation (PBE) of a relaxed Ag2HgCl2 crystal.

```
Ag2HgCl2
1.0
4.831 0.000 0.000
0.000 4.831 0.000
2.415 2.415 5.911
Hg Ag Cl
1 2 2
Direct
0.000 0.000 0.000
0.750 0.250 0.500
0.250 0.750 0.500
0.654 0.654 0.692
0.346 0.346 0.308
```

**Energy relative to the lowest polymorph listed for this composition**: 0.14 eV per formula unit
**Symmetry**: I4/mmm (139)

=====

# 3
The following is a DFT calculation (PBE) of a relaxed CsBi2RuO8 crystal.

```
CsBi2RuO8
1.0
5.001 -0.216 -0.139
-0.148 4.893 0.066
-0.226 0.129 8.594
Bi O Cs Ru
2 8 1 1
Direct
0.508 0.576 0.193
0.492 0.424 0.807
0.868 0.238 0.823
0.671 0.732 0.970
0.329 0.268 0.030
0.132 0.762 0.177
0.831 0.174 0.142
0.169 0.826 0.858
0.518 0.634 0.525
0.482 0.366 0.475
0.000 0.000 0.500
0.000 0.000 0.000
```

**Symmetry**: P-1 (2)
**E_tot**: -5.676 eV/atom

=====

# 4
The following is a DFT calculation (PBE) of a relaxed Ca2ThZn4 crystal.

```
Ca2ThZn4
1.0
-1.015 4.443 -0.289
-0.857 -0.432 -3.630
-8.360 -3.972 4.389
Zn Ca Th
4 2 1
Direct
0.935 0.435 0.869
0.365 0.365 0.731
0.635 0.635 0.269
0.065 0.565 0.131
0.811 0.811 0.621
0.189 0.189 0.379
0.500 0.000 0.000
```

**Symmetry**: Immm (71)
**E_tot**: -2.599 eV/atom

=====

# 5
The following is a DFT calculation (PBE) of a relaxed BaAs2Pt2 crystal.

```
BaAs2Pt2
1.0
-1.285 -1.551 -4.297
5.304 -1.015 -1.220
-3.103 -3.938 2.349
Ba As Pt
1 2 2
Direct
0.000 0.000 0.000
0.000 0.667 0.333
0.000 0.333 0.667
0.500 0.333 0.667
0.500 0.667 0.333
```

**Symmetry**: P6/mmm (191)
**E_tot**: -4.881 eV/atom

=====

# 6
The following is a DFT calculation (PBE) of a relaxed Tb5Pr2Hg crystal.

```
Tb5Pr2Hg
1.0
7.030 0.000 0.000
0.000 7.002 -0.001
-3.515 -3.501 5.076
Pr Tb Hg
2 5 1
Direct
0.222 0.664 0.444
0.722 0.253 0.444
0.722 0.725 0.444
0.696 0.213 0.904
0.237 0.753 0.985
0.748 0.753 0.985
0.208 0.213 0.904
0.222 0.202 0.445
```

**Symmetry**: Imm2 (44)
**E_tot**: -4.187 eV/atom

=====

# 7
The following is a DFT calculation (PBE) of a relaxed Re2SbOs crystal.

```
Re2SbOs
1.0
-2.079 -1.042 -1.821
2.706 -2.256 -1.799
-1.065 -4.135 3.583
Os Re Sb
1 2 1
Direct
0.500 0.500 0.742
0.500 0.500 0.217
0.000 0.000 0.025
0.000 0.000 0.516
```

**Symmetry**: Pmm2 (25)
**E_tot**: -9.511 eV/atom

=====

# 8
The following is a DFT calculation (PBE) of a relaxed SrLa3Pb crystal.

```
SrLa3Pb
1.0
-5.814 1.779 1.430
-0.771 -5.214 3.352
2.148 2.943 5.073
La Sr Pb
3 1 1
Direct
0.500 0.000 0.000
0.000 0.500 0.000
0.000 0.000 0.500
0.500 0.500 0.500
0.000 0.000 0.000
```

**Energy relative to the lowest polymorph listed for this composition**: 0.00 eV per formula unit
**Symmetry**: Pm-3m (221)

=====

# 9
The following is a DFT calculation (PBE) of a relaxed PrY6Mg crystal.

```
PrY6Mg
1.0
-6.761 4.467 -2.944
-8.263 0.455 4.533
-3.685 4.495 2.658
Y Mg Pr
6 1 1
Direct
0.539 0.241 0.264
0.759 0.956 0.824
0.241 0.044 0.176
0.461 0.759 0.736
0.956 0.539 0.746
0.044 0.461 0.254
0.000 0.000 0.000
0.500 0.500 0.500
```

**Energy relative to the lowest polymorph listed for this composition**: 0.00 eV per formula unit
**Symmetry**: R-3 (148)

=====

# 10
The following is a DFT calculation (PBE) of a relaxed Sr3TaI crystal.

```
Sr3TaI
1.0
6.125 0.000 0.000
0.000 6.125 0.000
0.000 0.000 6.125
I Sr Ta
1 3 1
Direct
0.000 0.000 0.000
0.500 0.000 0.000
0.000 0.000 0.500
0.000 0.500 0.000
0.500 0.500 0.500
```

**Energy relative to the lowest polymorph listed for this composition**: 0.81 eV per formula unit
**Symmetry**: Pm-3m (221)

=====

# 11
The following is a DFT calculation (PBE) of a relaxed Tb5Pm6In crystal.

```
Tb5Pm6In
1.0
0.664 -2.635 -4.226
2.462 -5.865 7.029
-9.353 1.406 0.639
Tb Pm In
5 6 1
Direct
0.000 0.336 0.664
0.500 0.168 0.832
0.500 0.500 0.500
0.500 0.832 0.168
0.000 0.664 0.336
0.744 0.244 0.244
0.755 0.590 0.920
0.245 0.410 0.080
0.245 0.080 0.410
0.256 0.756 0.756
0.755 0.920 0.590
0.000 0.000 0.000
```

**Symmetry**: Immm (71)
**E_tot**: -4.593 eV/atom

=====

# 12
The following is a DFT calculation (PBE) of a relaxed Li2LaErSe4 crystal.

```
Li2LaErSe4
1.0
4.169 0.000 0.000
0.000 7.233 0.120
0.000 -2.517 6.458
Se Er La Li
4 1 1 2
Direct
0.000 0.261 0.747
0.500 0.734 0.742
0.000 0.739 0.253
0.500 0.266 0.258
0.500 0.500 0.000
0.000 0.000 0.000
0.500 0.000 0.500
0.000 0.500 0.500
```

**Symmetry**: P2/m (10)
**E_tot**: -5.107 eV/atom